1.
6
Lattice="4.509 0.000 0.000 -2.255 3.866 -0.395 0.000 -1.855 7.655" Properties=species:S:1:pos:R:3 comment="ErMgNi | the Alexandria database | PBE | optimized geometry" total_energy_ev_per_atom=-4.142 volume_a3_per_atom=21.7 delta_e_f_ev_per_fu=-0.5 pbc="T T T"
Ni 0.000 0.269 2.843
Ni 2.255 1.742 4.417
Er 0.000 0.552 5.540
Er 2.255 1.458 1.720
Mg 0.000 0.000 0.000
Mg 2.255 -0.927 3.828


2.
5
Lattice="-0.302 -0.805 -3.462 -0.455 -3.871 0.939 -6.851 2.864 -0.068" Properties=species:S:1:pos:R:3 comment="Er2MgNi2 | the Alexandria database | PBE | optimized geometry" total_energy_ev_per_atom=-4.861 volume_a3_per_atom=20.5 delta_e_f_ev_per_fu=-2.0 pbc="T T T"
Er -2.412 -2.071 -1.146
Er -5.196 0.260 -1.444
Mg 0.000 0.000 0.000
Ni -2.807 0.368 0.159
Ni -4.499 -1.375 0.712


3.
3
Lattice="-1.209 -2.605 1.621 -0.394 -1.596 -2.858 5.924 0.010 1.079" Properties=species:S:1:pos:R:3 comment="ErMgNi | the Alexandria database | PBE | optimized geometry" total_energy_ev_per_atom=-4.196 volume_a3_per_atom=20.1 delta_e_f_ev_per_fu=-0.6 pbc="T T T"
Mg 0.309 -0.126 0.028
Ni 0.887 -2.789 -0.467
Er 3.125 -1.275 0.281


4.
14
Lattice="-1.381 -6.323 -2.883 6.071 -2.764 2.195 -7.314 1.456 4.746" Properties=species:S:1:pos:R:3 comment="Er4MgNi2 | the Alexandria database | PBE | optimized geometry" total_energy_ev_per_atom=-4.665 volume_a3_per_atom=24.2 delta_e_f_ev_per_fu=-1.2 pbc="T T T"
Er -1.901 0.194 1.353
Er -2.563 -2.745 4.705
Er -5.286 -4.597 0.654
Er -2.456 -5.997 3.151
Er -1.965 -3.407 0.947
Er -5.129 -1.595 2.743
Er 0.804 -6.190 -0.758
Er 1.717 -3.964 1.470
Ni 3.124 -6.292 0.618
Ni -3.837 -0.395 5.441
Ni -0.360 -3.771 -1.153
Ni -4.084 -4.001 2.893
Mg 0.035 -1.724 3.315
Mg 0.639 -1.463 0.076


5.
13
Lattice="4.994 0.000 2.007 2.497 6.518 1.004 0.066 0.000 7.052" Properties=species:S:1:pos:R:3 comment="ErMg8Ni4 | the Alexandria database | PBE | optimized geometry" total_energy_ev_per_atom=-3.246 volume_a3_per_atom=17.6 delta_e_f_ev_per_fu=-1.8 pbc="T T T"
Er 0.000 0.000 0.000
Ni 3.746 3.259 1.506
Ni 2.530 0.000 4.530
Ni 0.033 0.000 3.526
Ni 1.249 3.259 0.502
Mg 1.963 1.432 2.333
Mg 0.881 2.187 5.023
Mg 3.097 1.432 6.727
Mg 4.179 2.187 4.036
Mg 4.460 5.086 3.336
Mg 3.379 4.332 6.027
Mg 5.594 5.086 7.730
Mg 1.682 4.332 3.033


6.
8
Lattice="4.033 0.000 -1.170 -0.272 4.961 -0.937 0.371 0.081 8.813" Properties=species:S:1:pos:R:3 comment="Er3Mg3Ni2 | the Alexandria database | PBE | optimized geometry" total_energy_ev_per_atom=-3.970 volume_a3_per_atom=22.4 delta_e_f_ev_per_fu=-1.7 pbc="T T T"
Mg 1.880 2.481 -1.053
Mg 2.662 0.431 1.639
Mg 1.470 4.612 5.067
Er 0.000 0.000 0.000
Er 3.482 2.053 4.468
Er 0.649 2.989 2.238
Ni 3.063 4.359 3.022
Ni 1.069 0.684 3.684


7.
18
Lattice="7.361 0.000 0.270 0.000 7.225 0.000 -0.508 0.000 9.595" Properties=species:S:1:pos:R:3 comment="Er6Mg2Ni | the Alexandria database | PBE | optimized geometry" total_energy_ev_per_atom=-4.084 volume_a3_per_atom=28.4 delta_e_f_ev_per_fu=-0.4 pbc="T T T"
Er 1.802 1.799 0.396
Er 6.854 7.225 2.552
Er 2.920 3.613 7.214
Er 1.624 5.412 4.536
Er 5.051 1.799 9.469
Er 5.229 1.813 5.329
Er 1.802 5.426 0.396
Er 5.229 5.412 5.329
Er -0.001 0.000 7.313
Er 3.934 3.612 2.651
Er 1.624 1.813 4.536
Er 5.051 5.426 9.469
Ni -0.254 0.000 4.798
Ni 3.681 3.613 0.135
Mg 3.655 0.000 2.565
Mg 7.133 3.613 2.638
Mg 3.198 7.225 7.301
Mg -0.279 3.612 7.227


8.
11
Lattice="-1.971 2.898 -0.067 -3.708 -2.371 6.548 6.803 4.737 4.774" Properties=species:S:1:pos:R:3 comment="Er4Mg5Ni2 | the Alexandria database | PBE | optimized geometry" total_energy_ev_per_atom=-3.641 volume_a3_per_atom=24.0 delta_e_f_ev_per_fu=-2.3 pbc="T T T"
Mg 0.338 0.273 1.872
Mg 0.210 0.261 5.127
Mg -1.854 -1.185 3.274
Mg 2.885 2.105 6.195
Mg 2.757 2.093 9.450
Er -2.975 0.239 6.210
Er 1.311 3.091 3.438
Er -0.187 2.173 7.817
Er 4.100 5.025 5.045
Ni -0.990 -0.491 7.883
Ni 4.085 2.858 3.439


9.
10
Lattice="-0.794 1.502 3.305 -7.115 -0.850 -1.323 0.222 -6.611 3.058" Properties=species:S:1:pos:R:3 comment="Er2MgNi2 | the Alexandria database | PBE | optimized geometry" total_energy_ev_per_atom=-4.859 volume_a3_per_atom=19.7 delta_e_f_ev_per_fu=-2.0 pbc="T T T"
Ni -4.397 -1.334 -0.450
Ni -2.496 -6.127 2.185
Ni -6.111 -4.857 0.739
Ni -0.783 -2.604 0.995
Er -4.993 -5.295 3.296
Er -6.217 -2.123 1.561
Er -1.470 -3.836 3.479
Er -2.695 -0.663 1.743
Mg -3.447 -3.731 0.867
Mg 0.000 0.000 0.000


10.
8
Lattice="3.444 0.000 0.000 0.000 3.444 0.000 0.000 0.000 16.724" Properties=species:S:1:pos:R:3 comment="Er4Mg3Ni | the Alexandria database | PBE | optimized geometry" total_energy_ev_per_atom=-3.755 volume_a3_per_atom=24.8 delta_e_f_ev_per_fu=-1.2 pbc="T T T"
Mg 1.722 1.722 12.832
Mg 1.722 1.722 3.892
Mg 1.722 1.722 8.362
Ni 1.722 1.722 0.000
Er 0.000 0.000 6.113
Er 0.000 0.000 15.140
Er 0.000 0.000 1.584
Er 0.000 0.000 10.611


11.
4
Lattice="-2.348 -2.201 -0.634 0.786 -2.909 -1.297 0.610 -5.667 8.931" Properties=species:S:1:pos:R:3 comment="Er2MgNi | the Alexandria database | PBE | optimized geometry" total_energy_ev_per_atom=-3.744 volume_a3_per_atom=24.3 delta_e_f_ev_per_fu=1.5 pbc="T T T"
Er -1.291 -6.058 0.358
Er 0.340 -4.720 6.643
Ni 0.000 0.000 0.000
Mg -0.476 -5.389 3.500


12.
20
Lattice="5.990 0.000 0.000 2.995 8.863 0.186 2.995 2.531 8.496" Properties=species:S:1:pos:R:3 comment="Er3Mg5Ni2 | the Alexandria database | PBE | optimized geometry" total_energy_ev_per_atom=-3.421 volume_a3_per_atom=22.4 delta_e_f_ev_per_fu=-1.0 pbc="T T T"
Mg 2.995 6.310 1.837
Mg 7.487 7.953 6.060
Mg 4.492 5.697 4.341
Mg 8.985 5.085 6.845
Mg 4.492 7.953 6.060
Mg 7.487 3.442 2.623
Mg 5.990 3.446 5.596
Mg 7.487 5.697 4.341
Mg 5.990 7.949 3.086
Mg 4.492 3.442 2.623
Ni 5.990 9.178 7.792
Ni 5.990 2.217 0.890
Ni 8.985 9.948 6.781
Ni 2.995 1.447 1.901
Er 2.995 1.888 5.296
Er 5.990 5.788 8.267
Er 1.497 0.000 0.000
Er 8.985 9.506 3.387
Er 5.990 5.607 0.415
Er 4.492 0.000 0.000